Cd2AsRu PBE optimized geometry; DOS(E_F) = 0.843 states/eV/atom; energy of formation from the pure elements = 0.316 eV/atom; energy = -3.62 eV per atom
1.0
2.673 -4.232 0.000
2.673 4.232 0.000
0.000 0.000 3.262
Cd As Ru
2 1 1
Direct
0.000 0.500 0.000 Cd
0.500 0.000 0.000 Cd
0.000 0.000 0.500 As
0.500 0.500 0.500 Ru